Entry 1:
Ca2Ho4C | Alexandria via LeMat-Bulk | GGA-PBE | relaxed; density of states at the Fermi level = 12.42 states/eV per cell; VASP energy = -30.81 eV/cell; calculated formation energy = 0.103 eV per atom
1.0
-4.431 1.391 -1.615
-2.094 -3.532 2.705
-4.017 4.901 7.758
Ca Ho C
2 4 1
Cartesian
-3.526 1.015 3.064
-7.016 1.746 5.785
-1.047 -1.766 1.352
-3.828 3.410 5.957
-6.714 -0.649 2.892
-2.215 0.696 -0.807
0.000 0.000 0.000

***

Entry 2:
NdTeS | Alexandria via LeMat-Bulk | GGA-PBE | relaxed; density of states at the Fermi level = 0.64 states/eV per cell; uncorrected formation energy = -140.0 kJ per mole of atoms; VASP energy = -32.78 eV/cell; offset from the most stable computed form = 0 kJ/mol of formula units
1.0
4.273 0.000 0.000
0.000 4.273 0.000
-2.136 -2.136 8.714
Te Nd S
2 2 2
Cartesian
0.000 2.136 0.000
2.136 0.000 0.000
2.136 2.136 2.715
0.000 0.000 5.999
2.136 2.136 5.513
0.000 0.000 3.201